(1)
Sr2Tl2Rh PBE relaxed; ΔE_f = 3.0 eV/f.u.; polymorph energy (0 for the lowest one) = 952 meV per atom
1.0
-2.4289 2.4289 6.9824
2.4289 -2.4289 6.9824
2.4289 2.4289 -6.9824
Sr Tl Rh
2 2 1
direct
0.2500 0.7500 0.5000
0.7500 0.2500 0.5000
0.0962 0.0962 0.0000
0.9038 0.9038 0.0000
0.5000 0.5000 0.0000



(2)
Sr8TlRh2 PBE relaxed; ΔE_f = -2.0 eV/f.u.
1.0
4.8443 -7.1032 0.0000
4.8443 7.1032 0.0000
-1.4245 0.0000 6.0109
Sr Tl Rh
8 1 2
direct
0.0000 0.0000 0.0000
0.0509 0.3216 0.6282
0.1370 0.6267 0.2101
0.3216 0.0509 0.6282
0.4419 0.7128 0.7921
0.6267 0.1370 0.2101
0.7128 0.4419 0.7921
0.7632 0.7632 0.4197
0.3819 0.3819 0.2051
0.0672 0.6962 0.7098
0.6962 0.0672 0.7098



Number 1: calculated density 6.923 g/cm³. Number 2: calculated density 4.460 g/cm³.